DFT (PBE) results for a relaxed structure of ZrCo2HOs.

Cell: 3.855 3.855 3.892 Å, 90.00 90.00 90.00°
Space group P4/mmm (No. 123)
One atom of each set of equivalent atoms:
1 Zr 0.000 0.000 0.000
2 Co 0.000 0.500 0.500
3 H 0.500 0.500 0.500
4 Os 0.500 0.500 0.000

Properties
The density of states at the Fermi level is 5.297 states/eV per cell. As for the total energy: -37.9 eV for the cell shown. Its total magnetization is 0.00 μB per formula unit.

---

DFT (PBE) results for a relaxed structure of ReRu2Br.

Cell: 6.010 7.173 2.859 Å, 90.00 90.00 90.00°
Space group Cmmm (No. 65)
One atom of each set of equivalent atoms:
1 Re 0.000 0.000 0.000
2 Ru 0.250 0.250 0.500
3 Br 0.000 0.500 0.000

Properties
The density of states at the Fermi level is 7.966 states/eV per cell. As for the total energy: -57.5 eV for the cell shown. The energy relative to the elements, uncorrected comes out at 0.986 eV per atom. Its total magnetization is 0.00 μB per formula unit.

---

DFT (PBE) results for a relaxed structure of PuAl3ZnAu.

Cell: 6.093 12.836 6.036 Å, 90.00 90.00 90.00°
Space group Cmcm (No. 63)
One atom of each set of equivalent atoms:
1 Pu 0.000 0.195 0.250
2 Al 0.000 0.369 0.750
3 Al 0.212 0.000 0.000
4 Zn 0.000 0.412 0.250
5 Au 0.000 0.161 0.750

Properties
The density of states at the Fermi level is 44.272 states/eV per cell. As for the total energy: -122.2 eV for the cell shown. Its total magnetization is 6.10 μB per formula unit.